Material: As3NF
Method: DFT, GGA-PBE
State: optimized geometry

Properties
The energy above the most stable polymorph in this dataset is 0.00 kJ/mol of atoms. The total DFT energy (no corrections) is -4.260 eV/atom.

The structure in CIF format:
```
data_As3NF
_chemical_formula_sum 'As3 N1 F1'
_cell_length_a 4.353
_cell_length_b 4.353
_cell_length_c 4.353
_cell_angle_alpha 90.00
_cell_angle_beta 90.00
_cell_angle_gamma 90.00
_space_group_name_H-M_alt 'P m -3 m'
_space_group_IT_number 221
_space_group_name_Hall '-P 4 2 3'
loop_
_atom_site_label
_atom_site_fract_x
_atom_site_fract_y
_atom_site_fract_z
As1 0.000 0.000 0.500
N1 0.000 0.000 0.000
F1 0.500 0.500 0.500
```